Density functional theory data (PBE) for an optimized crystal structure of DyTmGe2Os.

Calculated values
symmetry: C2/m, No. 12
total moment: 0.01 μB/f.u.
total DFT energy (no corrections): -65.97 eV for the cell shown
energy relative to the lowest polymorph listed for this composition: 13.9 meV per atom

a = 5.7918 Å, b = 5.7918 Å, c = 10.0710 Å
α = 116.04°, β = 116.04°, γ = 43.49°
With the nearest neighbours (Å) after each atom.
Positions (direct):
Dy: 0.0051 0.0051 0.1762  6 Ge 2.92-3.12, 4 Os 3.09-3.18
Dy: 0.9949 0.9949 0.8238  6 Ge 2.92-3.12, 4 Os 3.09-3.18
Ge: 0.6428 0.6428 0.0622  3 Os 2.47-2.54, 1 Ge 2.72
Ge: 0.5134 0.5134 0.3769  1 Os 2.61, 1 Ge 2.63
Ge: 0.4866 0.4866 0.6231  1 Os 2.61, 1 Ge 2.63
Ge: 0.3572 0.3572 0.9378  3 Os 2.47-2.54, 1 Ge 2.72
Os: 0.2706 0.2706 0.1331  4 Ge 2.47-2.61
Os: 0.7294 0.7294 0.8669  4 Ge 2.47-2.61
Tm: 0.8171 0.8171 0.3850  6 Ge 2.89-3.23, 2 Os 3.18
Tm: 0.1829 0.1829 0.6150  6 Ge 2.89-3.23, 2 Os 3.18